Computed, not measured: crystalline Dy3Cu3Ni2 at its relaxed geometry at the PBE-GGA level of DFT.

## Properties
**Distance to the lowest polymorph of the same formula**: 2 meV per atom
**Mass density**: 9.05 g/cm³
**Energy**: -80.61 eV per cell
**Energy of formation**: -0.33 eV per atom

CIF file:
```
data_Dy3Cu3Ni2
_chemical_formula_sum 'Dy6 Cu6 Ni4'
_cell_length_a 3.8940
_cell_length_b 5.2440
_cell_length_c 15.4053
_cell_angle_alpha 90.00
_cell_angle_beta 90.00
_cell_angle_gamma 111.79
_symmetry_space_group_name_H-M 'P 1'
_symmetry_Int_Tables_number 1
_symmetry_space_group_name_Hall 'P 1'
loop_
_atom_site_label
_atom_site_fract_x
_atom_site_fract_y
_atom_site_fract_z
_atom_site_occupancy
Cu1 0.6377 0.2754 0.4679 1
Cu2 0.3623 0.7246 0.9679 1
Cu3 0.6377 0.2754 0.0321 1
Cu4 0.6440 0.2880 0.7500 1
Cu5 0.3560 0.7120 0.2500 1
Cu6 0.3623 0.7246 0.5321 1
Dy1 0.6463 0.2926 0.2500 1
Dy2 0.0744 0.1488 0.8969 1
Dy3 0.0744 0.1488 0.6031 1
Dy4 0.9256 0.8512 0.1031 1
Dy5 0.9256 0.8512 0.3969 1
Dy6 0.3537 0.7074 0.7500 1
Ni1 0.2172 0.4344 0.3851 1
Ni2 0.7828 0.5656 0.8851 1
Ni3 0.2172 0.4344 0.1149 1
Ni4 0.7828 0.5656 0.6149 1
```

---

Computed, not measured: crystalline Tl2AgMo at its relaxed geometry at the PBE-GGA level of DFT.

## Properties
**Distance to the lowest polymorph of the same formula**: 0 meV per atom
**Mass density**: 12.28 g/cm³
**Energy**: -16.19 eV per cell
**Energy of formation**: 0.56 eV per atom

CIF file:
```
data_Tl2AgMo
_chemical_formula_sum 'Tl2 Ag1 Mo1'
_cell_length_a 5.8071
_cell_length_b 5.8071
_cell_length_c 5.1607
_cell_angle_alpha 69.75
_cell_angle_beta 69.75
_cell_angle_gamma 30.66
_symmetry_space_group_name_H-M 'P 1'
_symmetry_Int_Tables_number 1
_symmetry_space_group_name_Hall 'P 1'
loop_
_atom_site_label
_atom_site_fract_x
_atom_site_fract_y
_atom_site_fract_z
_atom_site_occupancy
Tl1 0.7556 0.7556 0.6778 1
Tl2 0.9832 0.9832 0.0915 1
Ag1 0.5204 0.5204 0.5593 1
Mo1 0.2408 0.2408 0.1714 1
```

---

Computed, not measured: crystalline NdWC at its relaxed geometry at the PBE-GGA level of DFT.

## Properties
**Distance to the lowest polymorph of the same formula**: 210 meV per atom
**Mass density**: 10.27 g/cm³
**Energy**: -25.63 eV per cell
**Energy of formation**: 0.44 eV per atom

CIF file:
```
data_NdWC
_chemical_formula_sum 'Nd1 W1 C1'
_cell_length_a 4.9258
_cell_length_b 3.5904
_cell_length_c 3.5904
_cell_angle_alpha 120.00
_cell_angle_beta 90.00
_cell_angle_gamma 90.00
_symmetry_space_group_name_H-M 'P 1'
_symmetry_Int_Tables_number 1
_symmetry_space_group_name_Hall 'P 1'
loop_
_atom_site_label
_atom_site_fract_x
_atom_site_fract_y
_atom_site_fract_z
_atom_site_occupancy
C1 0.1664 0.0000 0.0000 1
W1 0.1667 0.3333 0.6667 1
Nd1 0.6669 0.6667 0.3333 1
```

---

Computed, not measured: crystalline BaNiSbI2 at its relaxed geometry at the PBE-GGA level of DFT.

## Properties
**Mass density**: 6.05 g/cm³
**Formation energy without anion corrections**: -511 meV per atom
**Energy**: -17.48 eV per cell

CIF file:
```
data_BaNiSbI2
_chemical_formula_sum 'Ba1 Ni1 Sb1 I2'
_cell_length_a 5.5315
_cell_length_b 5.5315
_cell_length_c 5.1313
_cell_angle_alpha 90.00
_cell_angle_beta 90.00
_cell_angle_gamma 90.00
_symmetry_space_group_name_H-M 'P 1'
_symmetry_Int_Tables_number 1
_symmetry_space_group_name_Hall 'P 1'
loop_
_atom_site_label
_atom_site_fract_x
_atom_site_fract_y
_atom_site_fract_z
_atom_site_occupancy
Sb1 0.0000 0.0000 0.5000 1
Ni1 0.0000 0.0000 0.0000 1
Ba1 0.5000 0.5000 0.5000 1
I1 0.5000 0.0000 0.0000 1
I2 0.0000 0.5000 0.0000 1
```

---

Computed, not measured: crystalline AcTmGa2Pd5 at its relaxed geometry at the PBE-GGA level of DFT.

## Properties
**Mass density**: 10.21 g/cm³
**Energy**: -47.28 eV per cell
**Energy of formation**: -0.74 eV per atom

CIF file:
```
data_AcTmGa2Pd5
_chemical_formula_sum 'Ac1 Tm1 Ga2 Pd5'
_cell_length_a 4.3234
_cell_length_b 4.3234
_cell_length_c 9.2912
_cell_angle_alpha 90.00
_cell_angle_beta 90.00
_cell_angle_gamma 90.00
_symmetry_space_group_name_H-M 'P 1'
_symmetry_Int_Tables_number 1
_symmetry_space_group_name_Hall 'P 1'
loop_
_atom_site_label
_atom_site_fract_x
_atom_site_fract_y
_atom_site_fract_z
_atom_site_occupancy
Pd1 0.5000 0.0000 0.2630 1
Pd2 0.0000 0.5000 0.2630 1
Pd3 0.0000 0.5000 0.7370 1
Pd4 0.5000 0.5000 0.5000 1
Pd5 0.5000 0.0000 0.7370 1
Ac1 0.0000 0.0000 0.5000 1
Tm1 0.0000 0.0000 0.0000 1
Ga1 0.5000 0.5000 0.1314 1
Ga2 0.5000 0.5000 0.8686 1
```

---

Computed, not measured: crystalline LaCo at its relaxed geometry at the PBE-GGA level of DFT.

## Properties
**Mass density**: 7.77 g/cm³
**Energy**: -23.36 eV per cell
**Energy of formation**: 0.18 eV per atom

CIF file:
```
data_LaCo
_chemical_formula_sum 'La2 Co2'
_cell_length_a 6.0800
_cell_length_b 6.0800
_cell_length_c 6.0800
_cell_angle_alpha 142.02
_cell_angle_beta 142.02
_cell_angle_gamma 54.81
_symmetry_space_group_name_H-M 'P 1'
_symmetry_Int_Tables_number 1
_symmetry_space_group_name_Hall 'P 1'
loop_
_atom_site_label
_atom_site_fract_x
_atom_site_fract_y
_atom_site_fract_z
_atom_site_occupancy
La1 0.5000 0.5000 0.0000 1
La2 0.2500 0.7500 0.5000 1
Co1 0.0000 0.0000 0.0000 1
Co2 0.7500 0.2500 0.5000 1
```

---

Computed, not measured: crystalline LiMnAlW at its relaxed geometry at the PBE-GGA level of DFT.

## Properties
**Mass density**: 8.71 g/cm³
**Energy**: -27.88 eV per cell
**Energy of formation**: -0.03 eV per atom

CIF file:
```
data_LiMnAlW
_chemical_formula_sum 'Li1 Mn1 Al1 W1'
_cell_length_a 4.1889
_cell_length_b 4.1889
_cell_length_c 4.1889
_cell_angle_alpha 60.00
_cell_angle_beta 60.00
_cell_angle_gamma 60.00
_symmetry_space_group_name_H-M 'P 1'
_symmetry_Int_Tables_number 1
_symmetry_space_group_name_Hall 'P 1'
loop_
_atom_site_label
_atom_site_fract_x
_atom_site_fract_y
_atom_site_fract_z
_atom_site_occupancy
Li1 0.0000 0.0000 0.0000 1
Mn1 0.5000 0.5000 0.5000 1
Al1 0.7500 0.7500 0.7500 1
W1 0.2500 0.2500 0.2500 1
```

---

Computed, not measured: crystalline KTlPbO2 at its relaxed geometry at the PBE-GGA level of DFT.

## Properties
**Distance to the lowest polymorph of the same formula**: 0 meV per atom
**Mass density**: 6.21 g/cm³
**Formation energy without anion corrections**: -1034 meV per atom
**Energy**: -44.51 eV per cell

CIF file:
```
data_KTlPbO2
_chemical_formula_sum 'K2 Tl2 Pb2 O4'
_cell_length_a 3.5988
_cell_length_b 10.5019
_cell_length_c 6.9547
_cell_angle_alpha 94.72
_cell_angle_beta 90.00
_cell_angle_gamma 99.87
_symmetry_space_group_name_H-M 'P 1'
_symmetry_Int_Tables_number 1
_symmetry_space_group_name_Hall 'P 1'
loop_
_atom_site_label
_atom_site_fract_x
_atom_site_fract_y
_atom_site_fract_z
_atom_site_occupancy
Pb1 0.9426 0.8851 0.7301 1
Pb2 0.0574 0.1149 0.2699 1
K1 0.6304 0.2608 0.8015 1
K2 0.3696 0.7392 0.1985 1
O1 0.6033 0.2065 0.4276 1
O2 0.3967 0.7935 0.5724 1
O3 0.8598 0.7195 0.9080 1
O4 0.1402 0.2805 0.0920 1
Tl1 0.2944 0.5887 0.7323 1
Tl2 0.7056 0.4113 0.2677 1
```